1.
## BaSmAs2Pd4 (PBE)

Data for crystalline BaSmAs2Pd4 at its relaxed geometry.

Output
* E_tot: -5.273 eV/atom
* energy of formation: -0.684 eV/atom
* calculated volume: 185.8 Å³ per cell
* space-group type: P4/mmm (123)

abc: 4.2407 4.2407 10.3330
angles: 90.00 90.00 90.00
Element x y z (fractional)
1 As 0.5000 0.5000 0.3237
2 As 0.5000 0.5000 0.6763
3 Pd 0.0000 0.5000 0.1995
4 Pd 0.0000 0.5000 0.8005
5 Pd 0.5000 0.0000 0.1995
6 Pd 0.5000 0.0000 0.8005
7 Ba 0.0000 0.0000 0.5000
8 Sm 0.0000 0.0000 0.0000

2.
## BaSmAs2Pd2 (PBE)

Data for crystalline BaSmAs2Pd2 at its relaxed geometry.

Output
* E_tot: -5.468 eV/atom
* energy of formation: -1.080 eV/atom
* calculated volume: 143.6 Å³ per cell
* space-group type: P-3m1 (164)

abc: 4.3756 4.3756 8.6610
angles: 90.00 90.00 120.00
Element x y z (fractional)
1 Pd 0.3333 0.6667 0.7210
2 Pd 0.6667 0.3333 0.2790
3 As 0.3333 0.6667 0.2790
4 As 0.6667 0.3333 0.7210
5 Sm 0.0000 0.0000 0.5000
6 Ba 0.0000 0.0000 0.0000

3.
## Ba2SnAsPd6 (PBE)

Data for crystalline Ba2SnAsPd6 at its relaxed geometry.

Output
* E_tot: -4.993 eV/atom
* energy of formation: -0.628 eV/atom
* calculated volume: 236.8 Å³ per cell
* space-group type: C2/m (12)

abc: 6.7897 7.1059 6.7828
angles: 61.59 59.98 89.97
Element x y z (fractional)
1 Pd 0.2558 0.3522 0.9033
2 Pd 0.1589 0.6476 0.0971
3 Pd 0.7442 0.6478 0.0967
4 Pd 0.2556 0.3516 0.4888
5 Pd 0.8411 0.3524 0.9029
6 Pd 0.7444 0.6484 0.5112
7 Ba 0.7178 0.1535 0.5643
8 Ba 0.2822 0.8465 0.4357
9 Sn 0.0000 0.0000 0.0000
10 As 0.5000 0.5000 0.0000

4.
## Ba3SnAs2Pd9 (PBE)

Data for crystalline Ba3SnAs2Pd9 at its relaxed geometry.

Output
* E_tot: -4.928 eV/atom
* energy of formation: -0.541 eV/atom
* calculated volume: 359.9 Å³ per cell
* space-group type: P-3m1 (164)

abc: 6.6663 6.6663 9.3503
angles: 90.00 90.00 120.00
Element x y z (fractional)
1 Ba 0.6667 0.3333 0.3409
2 Ba 0.3333 0.6667 0.6591
3 Ba 0.0000 0.0000 0.0000
4 Pd 0.1433 0.8567 0.2805
5 Pd 0.0000 0.5000 0.0000
6 Pd 0.5000 0.0000 0.0000
7 Pd 0.8567 0.1433 0.7195
8 Pd 0.1433 0.2865 0.2805
9 Pd 0.7135 0.8567 0.2805
10 Pd 0.2865 0.1433 0.7195
11 Pd 0.5000 0.5000 0.0000
12 Pd 0.8567 0.7135 0.7195
13 Sn 0.0000 0.0000 0.5000
14 As 0.6667 0.3333 0.8270
15 As 0.3333 0.6667 0.1730

5.
## Ba2SnAs3Pd4 (PBE)

Data for crystalline Ba2SnAs3Pd4 at its relaxed geometry.

Output
* E_tot: -4.992 eV/atom
* energy of formation: -0.735 eV/atom
* calculated volume: 223.8 Å³ per cell
* space-group type: P-4m2 (115)

abc: 4.5792 4.5792 10.6710
angles: 90.00 90.00 90.00
Element x y z (fractional)
1 Ba 0.5000 0.0000 0.2406
2 Ba 0.0000 0.5000 0.7594
3 As 0.5000 0.0000 0.8794
4 As 0.0000 0.5000 0.1206
5 As 0.0000 0.0000 0.5000
6 Pd 0.5000 0.0000 0.6352
7 Pd 0.0000 0.5000 0.3648
8 Pd 0.5000 0.5000 0.0000
9 Pd 0.0000 0.0000 0.0000
10 Sn 0.5000 0.5000 0.5000

6.
## BaSnAs2Pd4 (PBE)

Data for crystalline BaSnAs2Pd4 at its relaxed geometry.

Output
* E_tot: -5.104 eV/atom
* energy of formation: -0.605 eV/atom
* calculated volume: 168.2 Å³ per cell
* space-group type: P4/mmm (123)

abc: 4.5050 4.5050 8.2854
angles: 90.00 90.00 90.00
Element x y z (fractional)
1 Ba 0.0000 0.0000 0.5000
2 Sn 0.0000 0.0000 0.0000
3 As 0.5000 0.5000 0.6674
4 As 0.5000 0.5000 0.3326
5 Pd 0.5000 0.0000 0.8171
6 Pd 0.0000 0.5000 0.8171
7 Pd 0.0000 0.5000 0.1829
8 Pd 0.5000 0.0000 0.1829